Record 1
Density functional theory data (GGA-PBE) for a geometry-optimized Tb2Zn3Co structure.

abc: 4.254 5.403 5.837
angles: 75.99 68.63 66.82
Atoms (fractional coordinates):
Tb 0.559 0.203 0.678
Tb 0.448 0.812 0.293
Zn 0.823 0.246 0.107
Zn 0.172 0.748 0.909
Zn 0.847 0.610 0.697
Co 0.152 0.381 0.316

Output
Calculated volume   114.1 Å³/cell
SG   Cm (8)
Raw total energy   -3.666 eV per atom
E_form   -0.3011 eV per atom

Record 2
Density functional theory data (GGA-PBE) for a geometry-optimized Tb8Zn2Co structure.

abc: 5.132 6.678 9.050
angles: 103.33 106.47 90.00
Atoms (fractional coordinates):
Tb 0.589 0.434 0.177
Tb 0.798 0.687 0.596
Tb 0.346 0.039 0.692
Tb 0.027 0.784 0.054
Tb 0.973 0.216 0.946
Tb 0.202 0.313 0.404
Tb 0.411 0.566 0.823
Tb 0.654 0.961 0.308
Zn 0.808 0.265 0.617
Zn 0.192 0.735 0.383
Co 0.500 0.000 0.000

Output
Calculated volume   288.7 Å³/cell
SG   C2/m (12)
Raw total energy   -4.368 eV per atom
E_form   -0.1225 eV per atom